1.
Below is ZnReP3 after structural relaxation, with properties calculated at the PBE level.

Unit cell a=4.658 b=4.658 c=4.658 alpha=90.00 beta=90.00 gamma=90.00
Positions (direct):
Re1 0.000 0.000 0.000
Zn1 0.500 0.500 0.500
P1 0.000 0.500 0.000
P2 0.000 0.000 0.500
P3 0.500 0.000 0.000

## Properties
total energy: -0.3933 Ry/atom
magnetization: 0.00 μB per atom
energy of formation: 308 kJ/mol of formula units
offset from the most stable computed form: 0 meV/atom

---

2.
Below is ZnRe2P after structural relaxation, with properties calculated at the PBE level.

Unit cell a=4.729 b=4.729 c=4.652 alpha=71.34 beta=71.34 gamma=36.12
Positions (direct):
Zn1 0.500 0.500 0.000
Re1 0.284 0.284 0.724
Re2 0.716 0.716 0.276
P1 0.000 0.000 0.500

## Properties
total energy: -0.5651 Ry/atom
magnetization: 0.00 μB per atom
energy of formation: 80 kJ/mol of formula units
offset from the most stable computed form: 169 meV/atom